# 1
Computed, not measured: a geometry-optimized Sr2AlBr structure at the PBE-GGA level of DFT.

Cell: 8.4079 8.4079 8.8769 Å, 90.00 90.00 90.00°
With the nearest neighbours (Å) after each atom.
Space group I-42d (No. 122)
Inequivalent atoms, fractional coordinates:
Sr 0.2374 0.7500 0.1250  2 Br 3.10, 2 Al 3.24
Al 0.0000 0.0000 0.5000  4 Sr 3.24
Br 0.0000 0.0000 0.0000  4 Sr 3.10

Properties
Uncorrected formation energy   -2.1 eV/f.u.
Energy   -2.730 eV/atom
E above lowest polymorph   265 meV/atom
M_tot   0.000 μB per cell

# 2
Computed, not measured: a geometry-optimized NpGaCuIr structure at the PBE-GGA level of DFT.

Cell: 6.5271 6.5271 6.5271 Å, 90.00 90.00 90.00°
With the nearest neighbours (Å) after each atom.
Space group F-43m (No. 216)
Inequivalent atoms, fractional coordinates:
Np 0.0000 0.0000 0.0000  4 Ir 2.83, 4 Cu 2.83
Ga 0.0000 0.0000 0.5000  4 Cu 2.83, 4 Ir 2.83
Cu 0.2500 0.2500 0.2500  4 Np 2.83, 4 Ga 2.83
Ir 0.2500 0.2500 0.7500  4 Ga 2.83, 4 Np 2.83

Properties
Energy   -7.313 eV/atom
M_tot   13.526 μB per cell

# 3
Computed, not measured: a geometry-optimized IrRh2Pb structure at the PBE-GGA level of DFT.

Cell: 3.9875 3.9875 18.4379 Å, 90.00 90.00 90.00°
With the nearest neighbours (Å) after each atom.
Space group I-42d (No. 122)
Inequivalent atoms, fractional coordinates:
Ir 0.0000 0.0000 0.0000  4 Rh 2.65, 4 Pb 2.82
Rh 0.2106 0.2500 0.1250  2 Rh 2.61, 2 Ir 2.65, 2 Pb 2.76
Pb 0.0000 0.0000 0.5000  4 Rh 2.76, 4 Ir 2.82

Properties
Energy   -6.292 eV/atom
M_tot   0.000 μB per cell

# 4
Computed, not measured: a geometry-optimized TmPbAu4 structure at the PBE-GGA level of DFT.

Cell: 8.0002 8.0002 8.0002 Å, 90.00 90.00 90.00°
With the nearest neighbours (Å) after each atom.
Space group F-43m (No. 216)
Inequivalent atoms, fractional coordinates:
Tm 0.0000 0.0000 0.0000  12 Au 3.32, 4 Pb 3.46
Pb 0.2500 0.2500 0.7500  12 Au 3.32, 4 Tm 3.46
Au 0.1253 0.1253 0.3747  6 Au 2.82-2.84

Properties
Energy   -3.897 eV/atom
M_tot   0.000 μB per cell

# 5
Computed, not measured: a geometry-optimized DyPu2Ru2 structure at the PBE-GGA level of DFT.

Cell: 4.3325 8.4247 13.0850 Å, 90.00 90.00 90.00°
With the nearest neighbours (Å) after each atom.
Space group Imma (No. 74)
Inequivalent atoms, fractional coordinates:
Dy 0.0000 0.2500 0.0505  3 Ru 2.87-2.89
Pu 0.0000 0.0491 0.6441  3 Ru 2.61-2.77
Ru 0.0000 0.2500 0.3030  2 Ru 2.57, 2 Pu 2.61
Ru 0.0000 0.2500 0.8315  6 Pu 2.77-2.98, 1 Dy 2.87, 2 Ru 3.04

Properties
Energy   -10.390 eV/atom
E above lowest polymorph   130 meV/atom
M_tot   40.051 μB per cell

# 6
Computed, not measured: a geometry-optimized Cu3ReSe structure at the PBE-GGA level of DFT.

Cell: 4.4848 4.4848 4.4848 Å, 90.00 90.00 90.00°
With the nearest neighbours (Å) after each atom.
Space group Pm-3m (No. 221)
Inequivalent atoms, fractional coordinates:
Cu 0.0000 0.0000 0.5000  2 Se 2.24
Re 0.5000 0.5000 0.5000  12 Cu 3.17
Se 0.0000 0.0000 0.0000  6 Cu 2.24

Properties
Uncorrected formation energy   6.7 eV/f.u.
Energy   -4.298 eV/atom
E above lowest polymorph   0 meV/atom
M_tot   3.730 μB per cell

# 7
Computed, not measured: a geometry-optimized Sr2PuH6Ru structure at the PBE-GGA level of DFT.

Cell: 5.3273 5.3273 6.2192 Å, 90.00 90.00 120.00°
With the nearest neighbours (Å) after each atom.
Space group P-3m1 (No. 164)
Inequivalent atoms, fractional coordinates:
Sr 0.3333 0.6667 0.1716  9 H 2.67-2.70
Pu 0.0000 0.0000 0.5000  6 H 2.49
H 0.1510 0.3021 0.8324  1 Ru 1.74
Ru 0.0000 0.0000 0.0000  6 H 1.74

Properties
Energy   -5.043 eV/atom
M_tot   6.245 μB per cell

# 8
Computed, not measured: a geometry-optimized Zr2TeAu structure at the PBE-GGA level of DFT.

Cell: 3.4593 3.4593 28.0886 Å, 90.00 90.00 120.00°
With the nearest neighbours (Å) after each atom.
Space group R3m (No. 160, hexagonal axes)
Inequivalent atoms, fractional coordinates:
Zr 0.0000 0.0000 0.0000  3 Te 2.97, 3 Zr 3.14
Zr 0.0000 0.0000 0.2471  3 Au 2.86, 3 Zr 3.14
Te 0.0000 0.0000 0.7447  3 Zr 2.97
Au 0.0000 0.0000 0.5074  3 Zr 2.86

Properties
Uncorrected formation energy   -1.1 eV/f.u.
Energy   -6.162 eV/atom
E above lowest polymorph   235 meV/atom
M_tot   0.000 μB per cell

Calculated values (g/cm³) of density for the records, taken in order: 2.986; 13.436; 13.713; 15.099; 11.858; 8.391; 5.718; 8.676.